No. 1
This record from Alexandria via LeMat-Bulk describes a geometry-optimized Er4FeCl5 structure. The functional is GGA-PBE.

Cell: 18.6719 3.7278 8.5352 Å, 90.00 90.23 90.00°
Last column: nearest neighbours and their distance in Å.
Space group C2/m (No. 12)
Inequivalent atoms, fractional coordinates:
Er1 0.0001 0.0000 0.2339 [4 per cell]  2 Fe 2.73, 4 Cl 2.84-2.94
Er2 0.1278 0.5000 0.0010 [4 per cell]  1 Fe 2.39
Fe1 0.0000 0.5000 0.0000 [2 per cell]  2 Er 2.39
Cl1 0.0000 0.5000 0.5000 [2 per cell]  4 Er 2.94
Cl2 0.1520 0.0000 0.2284 [4 per cell]  3 Er 2.73-2.84
Cl3 0.1519 0.0000 0.7739 [4 per cell]  3 Er 2.73-2.84

Values from the calculation:
Crystal system = monoclinic
V = 29.70 Å³/atom
Formation energy from raw total energies = -1.465 eV/atom

***

No. 2
This record from Alexandria via LeMat-Bulk describes a geometry-optimized RbErFeCl6 structure. The functional is GGA-PBE.

Cell: 6.4943 6.4943 7.4708 Å, 90.00 90.00 120.00°
Last column: nearest neighbours and their distance in Å.
Space group P312 (No. 149)
Inequivalent atoms, fractional coordinates:
Rb1 0.0000 0.0000 0.0000 [1 per cell]  6 Cl 3.33
Er1 0.6667 0.3333 0.5000 [1 per cell]  6 Cl 2.63
Fe1 0.3333 0.6667 0.5000 [1 per cell]  6 Cl 2.39
Cl1 0.0285 0.3817 0.6899 [6 per cell]  1 Fe 2.39, 1 Er 2.63

Values from the calculation:
Crystal system = trigonal
V = 30.32 Å³/atom
Formation energy from raw total energies = -1.574 eV/atom

***

No. 3
This record from Alexandria via LeMat-Bulk describes a geometry-optimized ErTlFe2Cl8 structure. The functional is GGA-PBE.

Cell: 6.4508 6.4508 28.7835 Å, 90.00 90.00 120.00°
Last column: nearest neighbours and their distance in Å.
Space group R-3 (No. 148, hexagonal axes)
Inequivalent atoms, fractional coordinates:
Er1 0.0000 0.0000 0.0000 [3 per cell]  6 Cl 2.63
Tl1 0.0000 0.0000 0.5000 [3 per cell]  12 Cl 3.73-3.88
Fe1 0.0000 0.0000 0.2530 [6 per cell]  4 Cl 2.22-2.32
Cl1 0.0000 0.0000 0.1759 [6 per cell]  1 Fe 2.22
Cl2 0.0000 0.3406 0.2794 [18 per cell]  1 Fe 2.32

Values from the calculation:
Crystal system = trigonal
V = 28.81 Å³/atom
Formation energy from raw total energies = -1.231 eV/atom

***

No. 4
This record from Alexandria via LeMat-Bulk describes a geometry-optimized ErTlFeCl6 structure. The functional is GGA-PBE.

Cell: 6.4745 6.4745 7.2660 Å, 90.00 90.00 120.00°
Last column: nearest neighbours and their distance in Å.
Space group P312 (No. 149)
Inequivalent atoms, fractional coordinates:
Er1 0.0000 0.0000 0.0000 [1 per cell]  6 Cl 2.62
Tl1 0.3333 0.6667 0.5000 [1 per cell]  6 Cl 3.25
Fe1 0.6667 0.3333 0.0000 [1 per cell]  6 Cl 2.38
Cl1 0.3627 0.0474 0.1947 [6 per cell]  1 Fe 2.38, 1 Er 2.62

Values from the calculation:
Crystal system = trigonal
V = 29.31 Å³/atom
Formation energy from raw total energies = -1.353 eV/atom

***

No. 5
This record from Alexandria via LeMat-Bulk describes a geometry-optimized ErGa2Cl5 structure. The functional is GGA-PBE.

Cell: 16.2893 7.3331 10.0117 Å, 90.00 120.45 90.00°
Last column: nearest neighbours and their distance in Å.
Space group Cc (No. 9)
Inequivalent atoms, fractional coordinates:
Er1 0.0000 0.0001 0.0000 [4 per cell]  6 Cl 2.61-2.69
Ga1 0.1324 0.4687 0.2529 [4 per cell]  3 Cl 2.76-3.05
Ga2 0.3669 0.0317 0.7470 [4 per cell]  3 Cl 2.75-3.06
Cl1 0.0001 0.1359 0.7501 [4 per cell]  2 Er 2.69
Cl2 0.0645 0.3129 0.4681 [4 per cell]  1 Er 2.61
Cl3 0.1710 0.1320 0.1754 [4 per cell]  1 Er 2.61, 1 Ga 2.76
Cl4 0.3289 0.3681 0.8255 [4 per cell]  1 Er 2.61, 1 Ga 2.75
Cl5 0.4353 0.1868 0.5315 [4 per cell]  1 Er 2.61

Values from the calculation:
Crystal system = monoclinic
V = 32.22 Å³/atom
Formation energy from raw total energies = -1.493 eV/atom

***

No. 6
This record from Alexandria via LeMat-Bulk describes a geometry-optimized ErGa2Cl8 structure. The functional is GGA-PBE.

Cell: 13.5406 8.5155 6.5298 Å, 90.00 97.53 90.00°
Last column: nearest neighbours and their distance in Å.
Space group C2/m (No. 12)
Inequivalent atoms, fractional coordinates:
Er1 0.0000 0.0000 0.0000 [2 per cell]  6 Cl 2.64-2.65
Ga1 0.1827 0.0000 0.6405 [4 per cell]  4 Cl 2.18-2.37
Cl1 0.0903 0.1998 0.7762 [8 per cell]  1 Ga 2.35
Cl2 0.1586 0.5000 0.2463 [4 per cell]  1 Ga 2.18
Cl3 0.1628 0.0000 0.2743 [4 per cell]  1 Ga 2.37, 1 Er 2.65

Values from the calculation:
Crystal system = monoclinic
V = 33.93 Å³/atom
Formation energy from raw total energies = -1.362 eV/atom

***

No. 7
This record from Alexandria via LeMat-Bulk describes a geometry-optimized ErGaCl structure. The functional is GGA-PBE.

Cell: 22.4846 3.8694 7.4685 Å, 90.00 94.11 90.00°
Last column: nearest neighbours and their distance in Å.
Space group C2/m (No. 12)
Inequivalent atoms, fractional coordinates:
Er1 0.1448 0.0000 0.1079 [4 per cell]  3 Cl 2.64-2.89, 2 Ga 2.93
Er2 0.1480 0.0000 0.5946 [4 per cell]  3 Cl 2.64-2.91, 2 Ga 2.91
Ga1 0.2427 0.5000 0.1171 [4 per cell]  4 Ga 2.64-2.70, 2 Er 2.93
Ga2 0.2450 0.5000 0.6317 [4 per cell]  4 Ga 2.70-2.78, 2 Er 2.91
Cl1 0.0657 0.0000 0.8291 [4 per cell]  2 Er 2.64
Cl2 0.0942 0.5000 0.3416 [4 per cell]  4 Er 2.89-2.91

Values from the calculation:
Crystal system = monoclinic
V = 27.00 Å³/atom
Formation energy from raw total energies = -1.055 eV/atom

***

No. 8
This record from Alexandria via LeMat-Bulk describes a geometry-optimized Er2GaCl structure. The functional is GGA-PBE.

Cell: 3.5699 3.5699 25.3354 Å, 90.00 90.00 120.00°
Last column: nearest neighbours and their distance in Å.
Space group R3m (No. 160, hexagonal axes)
Inequivalent atoms, fractional coordinates:
Er1 0.0000 0.0000 0.0000 [3 per cell]  3 Ga 2.92, 3 Cl 3.03
Er2 0.0000 0.0000 0.1704 [3 per cell]  3 Ga 2.91, 3 Cl 2.94
Ga1 0.0000 0.0000 0.5850 [3 per cell]  6 Er 2.91-2.92
Cl1 0.0000 0.0000 0.7545 [3 per cell]  6 Er 2.94-3.03

Values from the calculation:
Crystal system = trigonal
Energy above the lowest structure with this stoichiometry = 0.014 eV/atom
V = 23.30 Å³/atom
Formation energy from raw total energies = -0.870 eV/atom

***

No. 9
This record from Alexandria via LeMat-Bulk describes a geometry-optimized ErGaCl6 structure. The functional is GGA-PBE.

Cell: 6.2661 12.6993 6.2568 Å, 90.00 107.14 90.00°
Last column: nearest neighbours and their distance in Å.
Space group C2/m (No. 12)
Inequivalent atoms, fractional coordinates:
Er1 0.0000 0.0000 0.0000 [2 per cell]  6 Cl 2.59-2.65
Ga1 0.0000 0.5000 0.5000 [2 per cell]  6 Cl 2.39-2.45
Cl1 0.2256 0.3665 0.7263 [8 per cell]  1 Ga 2.39, 1 Er 2.65
Cl2 0.2431 0.5000 0.2576 [4 per cell]  1 Ga 2.45, 1 Er 2.59

Values from the calculation:
Crystal system = monoclinic
V = 29.74 Å³/atom
Formation energy from raw total energies = -1.589 eV/atom

***

No. 10
This record from Alexandria via LeMat-Bulk describes a geometry-optimized Er2GaCl structure. The functional is GGA-PBE.

Cell: 4.1090 4.1090 19.7892 Å, 90.00 90.00 120.00°
Last column: nearest neighbours and their distance in Å.
Space group R-3m (No. 166, hexagonal axes)
Inequivalent atoms, fractional coordinates:
Er1 0.0000 0.0000 0.2438 [6 per cell]  3 Ga 2.82, 3 Cl 2.96
Ga1 0.0000 0.0000 0.5000 [3 per cell]  6 Er 2.82
Cl1 0.0000 0.0000 0.0000 [3 per cell]  6 Er 2.96

Values from the calculation:
Crystal system = trigonal
Energy above the lowest structure with this stoichiometry = 0.000 eV/atom
V = 24.11 Å³/atom
Formation energy from raw total energies = -0.884 eV/atom

***

no.,total DFT energy (no corrections) (eV for the cell shown)
1,-101.2
2,-39.2
3,-160.2
4,-38.7
5,-127.2
6,-80.7
7,-100.8
8,-52.4
9,-62.8
10,-52.6